SbBr | PBE | optimized geometry

```
SbBr
1.0
10.770 0.000 0.000
0.000 16.652 0.000
0.000 0.000 6.696
Br Sb
16 16
direct
0.500 0.696 0.500
0.000 0.304 0.000
0.250 0.054 0.250
0.750 0.054 0.750
0.500 0.804 0.000
0.750 0.446 0.750
0.500 0.304 0.500
0.000 0.696 0.000
0.000 0.804 0.500
0.250 0.446 0.250
0.500 0.196 0.000
0.750 0.946 0.250
0.250 0.946 0.750
0.750 0.554 0.250
0.250 0.554 0.750
0.000 0.196 0.500
0.500 0.000 0.708
0.000 0.500 0.708
0.000 0.000 0.792
0.250 0.750 0.042
0.000 0.500 0.292
0.250 0.250 0.958
0.500 0.000 0.292
0.500 0.500 0.208
0.500 0.500 0.792
0.750 0.250 0.042
0.750 0.750 0.542
0.250 0.750 0.458
0.750 0.250 0.458
0.250 0.250 0.542
0.000 0.000 0.208
0.750 0.750 0.958
```

Values from the calculation:
The excess energy over the best structure of this formula in the dataset comes out at 297 meV/atom. As for the space-group type: No. 70.

=====

SbBr2 | PBE | optimized geometry

```
SbBr2
1.0
4.472 -7.746 0.000
4.472 7.746 0.000
0.000 0.000 3.798
Br Sb
6 3
direct
0.557 0.000 0.500
0.443 0.443 0.500
0.000 0.557 0.500
0.236 0.000 0.000
0.764 0.764 0.000
0.000 0.236 0.000
0.667 0.333 0.000
0.000 0.000 0.500
0.333 0.667 0.000
```

Values from the calculation:
The excess energy over the best structure of this formula in the dataset comes out at 333 meV/atom. As for the space-group type: No. 189.

=====

SbBr3 | PBE | optimized geometry

```
SbBr3
1.0
5.444 -0.001 0.000
0.926 5.364 0.000
-3.185 -2.682 3.507
Sb Br
1 3
direct
0.000 0.000 0.000
0.500 0.500 0.000
0.750 0.250 0.500
0.250 0.750 0.500
```

Values from the calculation:
As for the space-group type: No. 139. The value obtained for the total energy is -2.239 eV per atom.

=====

Sb5Br | PBE | optimized geometry

```
Sb5Br
1.0
3.081 -5.336 0.000
3.081 5.336 0.000
0.000 0.000 5.406
Br Sb
1 5
direct
0.000 0.000 0.500
0.000 0.562 0.000
0.562 0.000 0.000
0.667 0.333 0.500
0.333 0.667 0.500
0.438 0.438 0.000
```

Values from the calculation:
The excess energy over the best structure of this formula in the dataset comes out at 197 meV/atom. As for the space-group type: No. 189.

=====

SbBr2 | PBE | optimized geometry

```
SbBr2
1.0
7.708 0.033 0.000
6.052 4.775 0.000
-6.880 -2.404 2.512
Br Sb
2 1
direct
0.371 0.371 0.000
0.629 0.629 0.000
0.000 0.000 0.000
```

Values from the calculation:
The excess energy over the best structure of this formula in the dataset comes out at 412 meV/atom. As for the space-group type: No. 139.

=====

SbBr2 | PBE | optimized geometry

```
SbBr2
1.0
14.835 -0.290 -3.333
14.952 -2.516 1.168
-15.185 -0.837 -0.017
Sb Br
2 4
direct
0.000 0.000 0.000
0.750 0.250 0.500
0.437 0.437 0.000
0.187 0.687 0.500
0.313 0.813 0.500
0.563 0.563 0.000
```

Values from the calculation:
The excess energy over the best structure of this formula in the dataset comes out at 412 meV/atom. As for the space-group type: No. 141.